Compound: CaAuClF
Source: the Alexandria database
Functional: PBE
Structure: optimized geometry

abc: 6.203 3.607 8.713
angles: 90.00 90.56 90.00
Space group Cm (No. 8)
Symmetry-distinct sites (fractional):
1 Ca 0.000 0.000 0.000 (multiplicity 2)
2 Au 0.161 0.500 0.556 (multiplicity 2)
3 Cl 0.169 0.500 0.198 (multiplicity 2)
4 F 0.333 0.000 0.903 (multiplicity 2)

Computed properties:
- volume (A^3/atom) = 24.369
- relative energy among the computed polymorphs (kcal/mol of atoms) = 0.00
- spin magnetization (μB per formula unit) = 0.00
- uncorrected formation energy (kJ/mol of formula units) = -705
- calculated total energy (Ha/atom) = -0.14980